LiNdYTe3 | PBE | relaxed

Its total energy is -5.054 eV per atom. The space group is P2_1/m, No. 11.

Lattice parameters (Å, degrees): 4.2870 9.0059 9.5396 103.68 90.00 90.00
With the nearest neighbours (Å) after each atom.
Sites, in units of the cell vectors:
Li: 0.2500 0.0848 0.5860  4 Te 2.74-2.78, 2 Li 2.90
Li: 0.7500 0.9152 0.4140  4 Te 2.74-2.78, 2 Li 2.90
Nd: 0.2500 0.1893 0.2332  7 Te 3.20-3.32
Nd: 0.7500 0.8107 0.7668  7 Te 3.20-3.32
Y: 0.2500 0.6682 0.1595  6 Te 3.05-3.15
Y: 0.7500 0.3318 0.8405  6 Te 3.05-3.15
Te: 0.7500 0.9081 0.1244  1 Li 2.75
Te: 0.2500 0.0919 0.8756  1 Li 2.75
Te: 0.2500 0.7679 0.4987  3 Li 2.74-2.78
Te: 0.7500 0.2321 0.5013  3 Li 2.74-2.78
Te: 0.7500 0.4315 0.1759  3 Y 3.05-3.11, 2 Nd 3.20
Te: 0.2500 0.5685 0.8241  3 Y 3.05-3.11, 2 Nd 3.20

Li3Nd2YTe6 | PBE | relaxed

Its total energy is -4.682 eV per atom. The space group is C2/m, No. 12.

Lattice parameters (Å, degrees): 7.6621 7.6621 7.5352 99.77 99.77 120.00
With the nearest neighbours (Å) after each atom.
Sites, in units of the cell vectors:
Li: 0.1673 0.8327 0.5000  6 Te 3.05-3.11
Li: 0.8327 0.1673 0.5000  6 Te 3.05-3.11
Li: 0.5000 0.5000 0.5000  6 Te 3.04-3.12
Nd: 0.3334 0.6666 0.0000  6 Te 3.17
Nd: 0.6666 0.3334 0.0000  6 Te 3.17
Y: 0.0000 0.0000 0.0000  6 Te 3.10-3.11
Te: 0.9132 0.5871 0.7396  3 Li 3.04-3.11, 1 Y 3.11, 2 Nd 3.17
Te: 0.7606 0.7606 0.2592  3 Li 3.05-3.12, 1 Y 3.10, 2 Nd 3.17
Te: 0.0868 0.4129 0.2604  3 Li 3.04-3.11, 1 Y 3.11, 2 Nd 3.17
Te: 0.5871 0.9132 0.7396  3 Li 3.04-3.11, 1 Y 3.11, 2 Nd 3.17
Te: 0.2394 0.2394 0.7408  3 Li 3.05-3.12, 1 Y 3.10, 2 Nd 3.17
Te: 0.4129 0.0868 0.2604  3 Li 3.04-3.11, 1 Y 3.11, 2 Nd 3.17

LiNd2YTe4 | PBE | relaxed

Its total energy is -5.174 eV per atom. The space group is P2/m, No. 10.

Lattice parameters (Å, degrees): 4.3980 7.6697 7.6321 70.81 90.00 90.00
With the nearest neighbours (Å) after each atom.
Sites, in units of the cell vectors:
Li: 0.5000 0.5000 0.0000  6 Te 3.02-3.04
Nd: 0.0000 0.0000 0.0000  6 Te 3.16-3.17
Nd: 0.5000 0.0000 0.5000  6 Te 3.21-3.22
Y: 0.0000 0.5000 0.5000  6 Te 3.08
Te: 0.0000 0.7328 0.7603  2 Li 3.04, 1 Y 3.08, 3 Nd 3.16-3.21
Te: 0.0000 0.2672 0.2397  2 Li 3.04, 1 Y 3.08, 3 Nd 3.16-3.21
Te: 0.5000 0.7348 0.2487  1 Li 3.02, 2 Y 3.08, 3 Nd 3.17-3.22
Te: 0.5000 0.2652 0.7513  1 Li 3.02, 2 Y 3.08, 3 Nd 3.17-3.22

Li2NdYTe4 | PBE | relaxed

Its total energy is -4.753 eV per atom. The space group is P2/m, No. 10.

Lattice parameters (Å, degrees): 4.4064 7.6283 7.5200 109.72 90.00 90.00
With the nearest neighbours (Å) after each atom.
Sites, in units of the cell vectors:
Li: 0.5000 0.0000 0.5000  6 Te 3.09
Li: 0.0000 0.5000 0.5000  6 Te 3.03-3.04
Nd: 0.0000 0.0000 0.0000  6 Te 3.16-3.17
Y: 0.5000 0.5000 0.0000  6 Te 3.10-3.11
Te: 0.5000 0.2600 0.2607  3 Li 3.04-3.09, 1 Y 3.10, 2 Nd 3.16
Te: 0.5000 0.7400 0.7393  3 Li 3.04-3.09, 1 Y 3.10, 2 Nd 3.16
Te: 0.0000 0.2542 0.7428  3 Li 3.03-3.09, 2 Y 3.11, 1 Nd 3.17
Te: 0.0000 0.7458 0.2572  3 Li 3.03-3.09, 2 Y 3.11, 1 Nd 3.17